The following is a PBE-GGA calculation of a relaxed CuTcO2 crystal, from Alexandria via LeMat-Bulk.

Formation energy from raw total energies ... -0.864 eV/atom
SG ... R-3m
E_tot ... -6.958 eV/atom

Cell lengths 6.6126, 6.6126, 6.6126 Å; angles 24.14, 24.14, 24.14 degrees
Sites, in units of the cell vectors:
Cu: 0.0000 0.0000 0.0000
O: 0.9031 0.9031 0.9031
O: 0.0969 0.0969 0.0969
Tc: 0.5000 0.5000 0.5000

---

The following is a PBE-GGA calculation of a relaxed TbNiAgSn crystal, from Alexandria via LeMat-Bulk.

SG ... F-43m
DFT formation energy ... -0.38 eV per atom
E_tot ... -4.693 eV/atom

Cell lengths 4.7924, 4.7924, 4.7924 Å; angles 60.00, 60.00, 60.00 degrees
Sites, in units of the cell vectors:
Ni: 0.7500 0.7500 0.7500
Tb: 0.5000 0.5000 0.5000
Sn: 0.0000 0.0000 0.0000
Ag: 0.2500 0.2500 0.2500

---

Looking at calculated density for the records above, in order, we have 7.563; 9.477 Mg/m³.